Record 1
{
  "formula": "AcCdBO4",
  "functional": "PBE",
  "state": "relaxed",
  "lattice": [[-5.656, 1.510, -5.480], [-6.418, -3.768, -0.281], [-6.208, 3.797, 1.586]],
  "species": ["Ac", "Ac", "Cd", "Cd", "B", "B", "O", "O", "O", "O", "O", "O", "O", "O"],
  "fractional_positions": [[0.000, 0.000, 0.000], [0.000, 0.500, 0.500], [0.500, 0.000, 0.500], [0.000, 0.000, 0.500], [0.731, 0.519, 0.019], [0.269, 0.481, 0.981], [0.742, 0.670, 0.845], [0.258, 0.655, 0.830], [0.742, 0.345, 0.170], [0.258, 0.330, 0.155], [0.127, 0.804, 0.304], [0.766, 0.804, 0.304], [0.234, 0.196, 0.696], [0.873, 0.196, 0.696]],
  "total_magnetization_mub_per_cell": 0.0,
  "vol_a3_per_atom": 21.97,
  "formation_energy_uncorrected_kj_per_mol_fu": -1406.1
}

***

Record 2
{
  "formula": "Nd6AsP2S3",
  "functional": "PBE",
  "state": "relaxed",
  "lattice": [[4.145, 0.000, 0.000], [0.000, 8.276, 0.296], [-2.072, -2.388, 8.713]],
  "species": ["Nd", "Nd", "Nd", "Nd", "Nd", "Nd", "As", "P", "P", "S", "S", "S"],
  "fractional_positions": [[0.332, 0.910, 0.664], [0.669, 0.579, 0.337], [0.668, 0.090, 0.336], [0.002, 0.253, 0.004], [0.998, 0.747, 0.996], [0.331, 0.421, 0.663], [0.500, 0.000, 0.000], [0.833, 0.666, 0.666], [0.167, 0.334, 0.334], [0.500, 0.500, 0.000], [0.834, 0.167, 0.668], [0.166, 0.833, 0.332]],
  "total_magnetization_mub_per_cell": 0.0,
  "vol_a3_per_atom": 25.15,
  "formation_energy_uncorrected_kj_per_mol_fu": -2116.8
}

***

Record 3
{
  "formula": "P2RuW",
  "functional": "PBE",
  "state": "relaxed",
  "lattice": [[-0.747, 3.768, 2.910], [-4.437, 1.557, -1.051], [2.515, -3.692, 1.806]],
  "species": ["P", "P", "Ru", "W"],
  "fractional_positions": [[0.993, 0.993, 0.000], [0.507, 0.507, 0.000], [0.750, 0.250, 0.500], [0.250, 0.750, 0.500]],
  "delta_e_f_ev_per_atom": 0.233,
  "total_magnetization_mub_per_cell": 0.0,
  "vol_a3_per_atom": 14.33
}

***

Record 4
{
  "formula": "V2HgSbPb",
  "functional": "PBE",
  "state": "relaxed",
  "lattice": [[-3.129, -3.896, 1.582], [-1.281, -1.070, -5.166], [4.019, -3.351, -0.303]],
  "species": ["Pb", "Sb", "Hg", "V", "V"],
  "fractional_positions": [[0.000, 0.000, 0.000], [0.500, 0.500, 0.500], [0.000, 0.500, 0.000], [0.000, 0.000, 0.500], [0.500, 0.000, 0.000]],
  "total_magnetization_mub_per_cell": 5.3,
  "vol_a3_per_atom": 29.83,
  "formation_energy_uncorrected_kj_per_mol_fu": 615.7
}

***

Record 5
{
  "formula": "BeIr2Pb",
  "functional": "PBE",
  "state": "relaxed",
  "lattice": [[6.896, -0.003, 0.003], [5.367, 4.330, -0.003], [-6.293, -1.705, 2.245]],
  "species": ["Pb", "Be", "Ir", "Ir"],
  "fractional_positions": [[0.450, 0.450, 0.000], [0.205, 0.705, 0.500], [0.087, 0.087, 0.000], [0.758, 0.258, 0.500]],
  "delta_e_f_ev_per_atom": 0.120,
  "polymorph_energy_ev_per_atom": 0.000,
  "total_magnetization_mub_per_cell": 0.0,
  "vol_a3_per_atom": 16.78
}

***

Record 6
{
  "formula": "NdZn3Ni",
  "functional": "PBE",
  "state": "relaxed",
  "lattice": [[4.588, 0.000, 0.000], [0.000, 4.588, 0.000], [0.000, 0.000, 4.588]],
  "species": ["Ni", "Zn", "Zn", "Zn", "Nd"],
  "fractional_positions": [[0.000, 0.000, 0.000], [0.000, 0.500, 0.000], [0.000, 0.000, 0.500], [0.500, 0.000, 0.000], [0.500, 0.500, 0.500]],
  "delta_e_f_ev_per_atom": -0.225,
  "polymorph_energy_ev_per_atom": 0.071,
  "total_magnetization_mub_per_cell": 0.0,
  "vol_a3_per_atom": 19.31
}

***

Number 1: VASP energy -6.59 eV/atom, Fermi-level density of states 0.00 states/eV per atom. Number 2: VASP energy -6.53 eV/atom, Fermi-level density of states 0.35 states/eV per atom. Number 3: VASP energy -8.03 eV/atom, Fermi-level density of states 0.63 states/eV per atom. Number 4: VASP energy -4.00 eV/atom, Fermi-level density of states 1.42 states/eV per atom. Number 5: VASP energy -6.17 eV/atom, Fermi-level density of states 0.38 states/eV per atom. Number 6: VASP energy -3.10 eV/atom, Fermi-level density of states 0.73 states/eV per atom.